Entry 1:
4
Lattice="3.895 0.000 0.000 0.000 3.750 0.768 0.000 -0.769 3.750" Properties=species:S:1:pos:R:3 comment="Cu2TcSb PBEsol optimized geometry" e_form_raw_ev_per_atom=0.214 dos_ef_per_ev_cell=3.08 volume_a3_per_atom=14.27 total_energy_ev_per_atom=-5.91 magnetic_moment_mub_per_cell=0.00 pbc="T T T"
Sb 1.948 0.000 0.000
Cu 0.000 1.875 0.384
Cu 0.000 -0.384 1.875
Tc 1.948 1.491 2.259

***

Entry 2:
5
Lattice="5.626 0.000 0.000 0.000 5.626 0.000 0.000 0.000 5.626" Properties=species:S:1:pos:R:3 comment="CuSbTe3 PBEsol optimized geometry" e_form_raw_ev_per_atom=0.985 dos_ef_per_ev_cell=4.69 volume_a3_per_atom=35.61 total_energy_ev_per_atom=-2.91 magnetic_moment_mub_per_cell=0.00 pbc="T T T"
Te 2.813 0.000 0.000
Te 0.000 2.813 0.000
Te 0.000 0.000 2.813
Sb 0.000 0.000 0.000
Cu 2.813 2.813 2.813

***

Entry 3:
4
Lattice="3.814 0.000 0.000 0.000 3.814 0.000 -1.907 -1.907 5.314" Properties=species:S:1:pos:R:3 comment="Cu2SbTe PBEsol optimized geometry" e_form_raw_ev_per_atom=0.315 dos_ef_per_ev_cell=1.57 volume_a3_per_atom=19.33 total_energy_ev_per_atom=-3.87 magnetic_moment_mub_per_cell=0.00 pbc="T T T"
Sb 1.907 1.907 0.000
Cu 1.907 0.000 2.657
Cu 0.000 0.000 0.000
Te 0.000 1.907 2.657

***

Entry 4:
4
Lattice="3.288 0.000 0.000 0.000 3.288 0.000 0.000 0.000 7.403" Properties=species:S:1:pos:R:3 comment="Cu2SbTe PBEsol optimized geometry" e_form_raw_ev_per_atom=0.101 dos_ef_per_ev_cell=2.08 volume_a3_per_atom=20.01 total_energy_ev_per_atom=-4.09 magnetic_moment_mub_per_cell=0.00 pbc="T T T"
Sb 0.000 0.000 3.018
Te 1.644 1.644 6.226
Cu 1.644 1.644 1.488
Cu 0.000 0.000 0.373

***

Entry 5:
5
Lattice="-2.204 2.537 3.594 -2.540 -4.016 1.277 3.763 -1.344 3.256" Properties=species:S:1:pos:R:3 comment="TiCuSb2Te PBEsol optimized geometry" e_form_raw_ev_per_atom=0.599 dos_ef_per_ev_cell=7.55 volume_a3_per_atom=24.96 total_energy_ev_per_atom=-4.46 magnetic_moment_mub_per_cell=1.88 pbc="T T T"
Te 1.881 -0.672 1.628
Sb -1.270 -2.008 0.639
Sb -1.102 1.269 1.797
Ti -0.491 -1.412 4.064
Cu 0.000 0.000 0.000

***

Entry 6:
5
Lattice="5.163 0.000 0.000 0.000 5.188 0.000 0.000 0.000 5.188" Properties=species:S:1:pos:R:3 comment="CuSb2TeW PBEsol optimized geometry" e_form_raw_ev_per_atom=1.002 dos_ef_per_ev_cell=4.14 volume_a3_per_atom=27.79 total_energy_ev_per_atom=-5.15 magnetic_moment_mub_per_cell=0.00 pbc="T T T"
Sb 0.000 0.000 2.594
Sb 0.000 2.594 0.000
W 0.000 0.000 0.000
Cu 2.581 2.594 2.594
Te 2.581 0.000 0.000

***

Entry 7:
5
Lattice="4.989 0.000 0.000 0.000 4.989 0.000 0.000 0.000 5.213" Properties=species:S:1:pos:R:3 comment="YCuSb2Te PBEsol optimized geometry" e_form_raw_ev_per_atom=-0.050 dos_ef_per_ev_cell=3.55 volume_a3_per_atom=25.95 total_energy_ev_per_atom=-4.81 magnetic_moment_mub_per_cell=0.00 pbc="T T T"
Y 2.495 2.495 2.606
Sb 2.495 0.000 0.000
Sb 0.000 2.495 0.000
Te 0.000 0.000 2.606
Cu 0.000 0.000 0.000

***

Entry 8:
18
Lattice="5.433 0.000 0.000 0.000 8.080 0.000 0.000 -4.040 6.997" Properties=species:S:1:pos:R:3 comment="Ti5CuSb3 PBEsol optimized geometry" e_form_raw_ev_per_atom=-0.551 dos_ef_per_ev_cell=11.54 volume_a3_per_atom=17.06 total_energy_ev_per_atom=-7.18 magnetic_moment_mub_per_cell=0.00 pbc="T T T"
Ti 4.075 2.167 0.000
Ti 0.000 0.000 4.665
Ti 2.716 0.000 4.665
Ti 1.358 5.913 0.000
Ti 1.358 1.083 1.877
Ti 2.716 4.040 2.332
Ti 1.358 -2.957 5.121
Ti 4.075 -1.083 1.877
Ti 4.075 2.957 5.121
Ti 0.000 4.040 2.332
Cu 2.716 0.000 0.000
Cu 0.000 0.000 0.000
Sb 1.358 3.091 0.000
Sb 1.358 -1.546 2.677
Sb 4.075 -2.494 4.320
Sb 4.075 4.989 0.000
Sb 4.075 1.546 2.677
Sb 1.358 2.494 4.320

***

Entry 9:
4
Lattice="-0.168 1.604 -4.039 -3.737 1.591 -1.554 0.247 6.904 0.389" Properties=species:S:1:pos:R:3 comment="Tl2CuSb PBEsol optimized geometry" e_form_raw_ev_per_atom=0.066 dos_ef_per_ev_cell=1.02 volume_a3_per_atom=26.40 total_energy_ev_per_atom=-3.47 magnetic_moment_mub_per_cell=0.00 pbc="T T T"
Sb -2.910 6.944 -4.146
Tl 0.184 6.666 0.298
Tl -0.818 2.888 -1.161
Cu -1.709 5.500 -2.428

***

Entry 10:
4
Lattice="-2.942 1.150 2.112 -2.358 -2.664 -1.835 2.588 -3.871 2.294" Properties=species:S:1:pos:R:3 comment="TlCu2Sb PBEsol optimized geometry" e_form_raw_ev_per_atom=0.131 dos_ef_per_ev_cell=1.56 volume_a3_per_atom=18.37 total_energy_ev_per_atom=-3.83 magnetic_moment_mub_per_cell=0.00 pbc="T T T"
Sb 0.249 -0.735 0.747
Cu -2.269 -1.880 1.280
Cu -0.749 -1.556 3.222
Tl -0.302 -3.922 1.715

***

Entry 11:
5
Lattice="-4.212 -0.508 -1.289 -0.453 -3.393 2.818 0.666 5.524 3.271" Properties=species:S:1:pos:R:3 comment="TlCu2Sb2 PBEsol optimized geometry" e_form_raw_ev_per_atom=0.108 dos_ef_per_ev_cell=1.49 volume_a3_per_atom=22.18 total_energy_ev_per_atom=-3.97 magnetic_moment_mub_per_cell=0.00 pbc="T T T"
Sb -1.236 2.650 2.993
Sb -2.763 -1.028 1.807
Tl 0.000 0.000 0.000
Cu -2.939 1.532 1.373
Cu -1.060 0.090 3.426

***

Entry 12:
4
Lattice="3.497 0.000 0.000 0.000 4.605 0.000 0.000 0.000 4.605" Properties=species:S:1:pos:R:3 comment="TlCu2Sb PBEsol optimized geometry" e_form_raw_ev_per_atom=0.318 dos_ef_per_ev_cell=1.16 volume_a3_per_atom=18.53 total_energy_ev_per_atom=-3.65 magnetic_moment_mub_per_cell=0.00 pbc="T T T"
Cu 0.000 2.302 0.000
Cu 0.000 0.000 2.302
Tl 1.748 0.000 0.000
Sb 1.748 2.302 2.302

***

Entry 13:
4
Lattice="3.427 0.000 0.000 1.714 2.968 0.000 1.714 0.989 9.194" Properties=species:S:1:pos:R:3 comment="Tl2CuSb PBEsol optimized geometry" e_form_raw_ev_per_atom=0.254 dos_ef_per_ev_cell=1.69 volume_a3_per_atom=23.38 total_energy_ev_per_atom=-3.28 magnetic_moment_mub_per_cell=0.00 pbc="T T T"
Tl 1.714 0.989 1.914
Tl 5.141 2.968 7.280
Cu 0.000 0.000 0.000
Sb 3.427 1.979 4.597

***

Entry 14:
4
Lattice="-1.064 -1.777 4.311 1.386 -4.426 1.171 3.458 -0.644 3.241" Properties=species:S:1:pos:R:3 comment="TlCu2Sb PBEsol optimized geometry" e_form_raw_ev_per_atom=0.524 dos_ef_per_ev_cell=1.79 volume_a3_per_atom=19.34 total_energy_ev_per_atom=-3.44 magnetic_moment_mub_per_cell=0.00 pbc="T T T"
Tl 2.834 -5.135 6.543
Cu 0.945 -1.712 2.181
Cu 0.000 0.000 0.000
Sb 1.890 -3.423 4.362

***

Entry 15:
4
Lattice="-2.228 -0.928 -2.033 4.161 -0.461 -4.351 -1.358 -4.646 3.610" Properties=species:S:1:pos:R:3 comment="Tl2CuSb PBEsol optimized geometry" e_form_raw_ev_per_atom=0.350 dos_ef_per_ev_cell=2.19 volume_a3_per_atom=24.44 total_energy_ev_per_atom=-3.19 magnetic_moment_mub_per_cell=0.00 pbc="T T T"
Tl 2.081 -0.230 -2.175
Tl -0.679 -2.323 1.805
Sb -1.114 -0.464 -1.016
Cu 0.288 -3.017 -1.387

***

Entry 16:
8
Lattice="4.243 0.000 0.000 0.000 4.243 0.000 0.000 0.000 9.488" Properties=species:S:1:pos:R:3 comment="TmCuSb2 PBEsol optimized geometry" e_form_raw_ev_per_atom=-0.605 dos_ef_per_ev_cell=2.17 volume_a3_per_atom=21.35 total_energy_ev_per_atom=-5.19 magnetic_moment_mub_per_cell=0.00 pbc="T T T"
Tm 2.122 0.000 2.383
Tm 0.000 2.122 7.105
Sb 0.000 0.000 0.000
Sb 2.122 2.122 0.000
Sb 2.122 0.000 6.310
Sb 0.000 2.122 3.177
Cu 2.122 2.122 4.744
Cu 0.000 0.000 4.744

***

Entry 17:
8
Lattice="4.292 0.000 0.000 0.000 4.292 0.000 0.000 0.000 9.263" Properties=species:S:1:pos:R:3 comment="UCuSb2 PBEsol optimized geometry" e_form_raw_ev_per_atom=-0.171 dos_ef_per_ev_cell=14.54 volume_a3_per_atom=21.33 total_energy_ev_per_atom=-6.57 magnetic_moment_mub_per_cell=4.60 pbc="T T T"
Sb 2.146 2.146 0.000
Sb 0.000 2.146 3.058
Sb 0.000 0.000 0.000
Sb 2.146 0.000 6.205
U 2.146 0.000 2.374
U 0.000 2.146 6.889
Cu 0.000 0.000 4.632
Cu 2.146 2.146 4.632

***

Entry 18:
4
Lattice="-2.208 3.940 -0.917 -2.573 -1.751 -1.329 -2.021 -0.170 4.137" Properties=species:S:1:pos:R:3 comment="CuSb2W PBEsol optimized geometry" e_form_raw_ev_per_atom=0.568 dos_ef_per_ev_cell=2.74 volume_a3_per_atom=17.96 total_energy_ev_per_atom=-6.25 magnetic_moment_mub_per_cell=0.00 pbc="T T T"
Cu -2.297 -0.961 1.404
W -2.390 1.094 -1.123
Sb -2.115 1.885 1.610
Sb 0.000 0.000 0.000

***

Entry 19:
4
Lattice="-1.743 -1.520 2.039 2.938 -0.353 0.865 -0.545 6.858 4.646" Properties=species:S:1:pos:R:3 comment="CuSb2W PBEsol optimized geometry" e_form_raw_ev_per_atom=0.664 dos_ef_per_ev_cell=2.64 volume_a3_per_atom=18.84 total_energy_ev_per_atom=-6.15 magnetic_moment_mub_per_cell=0.00 pbc="T T T"
Sb -0.134 1.682 1.139
Sb -0.411 5.176 3.506
Cu 0.598 -0.936 1.452
W 0.325 2.493 3.775

***

Entry 20:
4
Lattice="-4.492 0.354 1.473 -2.277 -3.835 1.607 -1.020 -0.392 4.613" Properties=species:S:1:pos:R:3 comment="CuSb2W PBEsol optimized geometry" e_form_raw_ev_per_atom=0.968 dos_ef_per_ev_cell=4.24 volume_a3_per_atom=18.84 total_energy_ev_per_atom=-5.85 magnetic_moment_mub_per_cell=0.24 pbc="T T T"
Sb 0.000 0.000 0.000
Sb -5.842 -2.905 5.770
W -1.947 -0.968 1.923
Cu -3.894 -1.937 3.846